[1]
Here is an optimized crystal structure of Er3InSn2PdPt2 from OQMD via LeMat-Bulk. Energies are from PBE.

## Properties
- total DFT energy (no corrections) (eV/cell) = -50.9
- density (g cm⁻³) = 11.58
- space-group type = No. 38
- crystal system = orthorhombic

abc: 3.805 7.674 7.674
angles: 120.24 90.00 90.00
Fractional positions:
Er (0.000, 0.000, 0.000)
Er (0.000, 0.182, 0.586)
Er (0.000, 0.586, 0.182)
In (0.500, 0.329, 0.329)
Sn (0.500, 0.588, 0.851)
Sn (0.500, 0.851, 0.588)
Pd (0.000, 0.596, 0.596)
Pt (0.500, 0.256, 0.922)
Pt (0.500, 0.922, 0.256)

***

[2]
Here is an optimized crystal structure of Gd3Tl4Pb3 from OQMD via LeMat-Bulk. Energies are from PBE.

## Properties
- density (g cm⁻³) = 11.35
- space-group type = No. 65
- energy above the most stable polymorph in this dataset (meV/atom) = 35
- crystal system = orthorhombic

abc: 12.683 12.683 4.774
angles: 90.00 90.00 158.65
Fractional positions:
Gd (0.000, 0.000, 0.000)
Gd (0.191, 0.809, 0.000)
Gd (0.809, 0.191, 0.000)
Tl (0.101, 0.899, 0.500)
Tl (0.293, 0.707, 0.500)
Tl (0.707, 0.293, 0.500)
Tl (0.899, 0.101, 0.500)
Pb (0.401, 0.599, 0.000)
Pb (0.500, 0.500, 0.500)
Pb (0.599, 0.401, 0.000)

***

[3]
Here is an optimized crystal structure of ThCoNi from OQMD via LeMat-Bulk. Energies are from PBE.

## Properties
- density (g cm⁻³) = 10.39
- space-group type = No. 216
- formation energy from the elements (eV per formula unit) = -0.1
- crystal system = cubic

abc: 6.069 6.069 6.069
angles: 90.00 90.00 90.00
Fractional positions:
Th (0.000, 0.000, 0.000)
Th (0.000, 0.500, 0.500)
Th (0.500, 0.000, 0.500)
Th (0.500, 0.500, 0.000)
Co (0.250, 0.250, 0.750)
Co (0.250, 0.750, 0.250)
Co (0.750, 0.250, 0.250)
Co (0.750, 0.750, 0.750)
Ni (0.000, 0.000, 0.500)
Ni (0.000, 0.500, 0.000)
Ni (0.500, 0.000, 0.000)
Ni (0.500, 0.500, 0.500)

***

[4]
Here is an optimized crystal structure of PmHoIn from OQMD via LeMat-Bulk. Energies are from PBE.

## Properties
- density (g cm⁻³) = 6.98
- space-group type = No. 216
- energy above the most stable polymorph in this dataset (meV/atom) = 0
- crystal system = cubic

abc: 7.394 7.394 7.394
angles: 90.00 90.00 90.00
Fractional positions:
Pm (0.000, 0.000, 0.000)
Pm (0.000, 0.500, 0.500)
Pm (0.500, 0.000, 0.500)
Pm (0.500, 0.500, 0.000)
Ho (0.000, 0.000, 0.500)
Ho (0.000, 0.500, 0.000)
Ho (0.500, 0.000, 0.000)
Ho (0.500, 0.500, 0.500)
In (0.250, 0.250, 0.750)
In (0.250, 0.750, 0.250)
In (0.750, 0.250, 0.250)
In (0.750, 0.750, 0.750)